[1]
# PBE Fe2CuRe, optimized geometry
data_Fe2CuRe
_chemical_formula_sum 'Fe2 Cu1 Re1'
_symmetry_space_group_name_H-M 'P 4/m m m'
_symmetry_Int_Tables_number 123
_symmetry_space_group_name_Hall '-P 4 2'
_cell_length_a 3.021
_cell_length_b 3.021
_cell_length_c 5.431
_cell_angle_alpha 90.00
_cell_angle_beta 90.00
_cell_angle_gamma 90.00
loop_
_atom_site_label
_atom_site_type_symbol
_atom_site_fract_x
_atom_site_fract_y
_atom_site_fract_z
Fe1 Fe 0.000 0.000 0.233
Cu1 Cu 0.500 0.500 0.000
Re1 Re 0.500 0.500 0.500
# Formation enthalpy at 0 K ... 220.3 meV/atom
# E_tot ... -8.147 eV/atom
# Energy relative to the lowest polymorph listed for this composition ... 46 meV/atom

[2]
# PBE FeCu2Re, optimized geometry
data_FeCu2Re
_chemical_formula_sum 'Fe2 Cu4 Re2'
_symmetry_space_group_name_H-M 'C 1 m 1'
_symmetry_Int_Tables_number 8
_symmetry_space_group_name_Hall 'C -2y'
_cell_length_a 8.576
_cell_length_b 2.547
_cell_length_c 4.685
_cell_angle_alpha 90.00
_cell_angle_beta 97.18
_cell_angle_gamma 90.00
loop_
_atom_site_label
_atom_site_type_symbol
_atom_site_fract_x
_atom_site_fract_y
_atom_site_fract_z
Fe1 Fe 0.000 0.000 0.000
Cu1 Cu 0.247 0.500 0.279
Cu2 Cu 0.496 0.000 0.499
Re1 Re 0.246 0.000 0.783
# Formation enthalpy at 0 K ... 240.7 meV/atom
# E_tot ... -7.035 eV/atom
# Energy relative to the lowest polymorph listed for this composition ... 56 meV/atom

[3]
# PBE Fe3CuRe, optimized geometry
data_Fe3CuRe
_chemical_formula_sum 'Fe3 Cu1 Re1'
_symmetry_space_group_name_H-M 'P m -3 m'
_symmetry_Int_Tables_number 221
_symmetry_space_group_name_Hall '-P 4 2 3'
_cell_length_a 4.452
_cell_length_b 4.452
_cell_length_c 4.452
_cell_angle_alpha 90.00
_cell_angle_beta 90.00
_cell_angle_gamma 90.00
loop_
_atom_site_label
_atom_site_type_symbol
_atom_site_fract_x
_atom_site_fract_y
_atom_site_fract_z
Fe1 Fe 0.000 0.000 0.500
Cu1 Cu 0.500 0.500 0.500
Re1 Re 0.000 0.000 0.000
# Formation enthalpy at 0 K ... 1601.0 meV/atom
# E_tot ... -6.785 eV/atom
# Energy relative to the lowest polymorph listed for this composition ... 0 meV/atom

[4]
# PBE FeCu2Re, optimized geometry
data_FeCu2Re
_chemical_formula_sum 'Fe3 Cu6 Re3'
_symmetry_space_group_name_H-M 'R 3 m'
_symmetry_Int_Tables_number 160
_symmetry_space_group_name_Hall 'R 3 -2"'
_cell_length_a 2.6542
_cell_length_b 2.6542
_cell_length_c 25.0803
_cell_angle_alpha 90.00
_cell_angle_beta 90.00
_cell_angle_gamma 120.00
loop_
_atom_site_label
_atom_site_type_symbol
_atom_site_fract_x
_atom_site_fract_y
_atom_site_fract_z
Fe1 Fe 0.0000 0.0000 0.0000
Cu1 Cu 0.0000 0.0000 0.4971
Cu2 Cu 0.0000 0.0000 0.7493
Re1 Re 0.0000 0.0000 0.2543
# Formation enthalpy at 0 K ... 198.7 meV/atom
# E_tot ... -7.077 eV/atom
# Energy relative to the lowest polymorph listed for this composition ... 14 meV/atom

[5]
# PBE Fe2CuRe, optimized geometry
data_Fe2CuRe
_chemical_formula_sum 'Fe4 Cu2 Re2'
_symmetry_space_group_name_H-M 'I -4 m 2'
_symmetry_Int_Tables_number 119
_symmetry_space_group_name_Hall 'I -4 -2'
_cell_length_a 3.633
_cell_length_b 3.633
_cell_length_c 7.391
_cell_angle_alpha 90.00
_cell_angle_beta 90.00
_cell_angle_gamma 90.00
loop_
_atom_site_label
_atom_site_type_symbol
_atom_site_fract_x
_atom_site_fract_y
_atom_site_fract_z
Fe1 Fe 0.000 0.000 0.000
Fe2 Fe 0.000 0.500 0.250
Cu1 Cu 0.000 0.000 0.500
Re1 Re 0.000 0.500 0.750
# Formation enthalpy at 0 K ... 220.7 meV/atom
# E_tot ... -8.147 eV/atom
# Energy relative to the lowest polymorph listed for this composition ... 47 meV/atom

[6]
# PBE FeCu2Re, optimized geometry
data_FeCu2Re
_chemical_formula_sum 'Fe2 Cu4 Re2'
_symmetry_space_group_name_H-M 'C 1 2/m 1'
_symmetry_Int_Tables_number 12
_symmetry_space_group_name_Hall '-C 2y'
_cell_length_a 8.864
_cell_length_b 2.568
_cell_length_c 4.518
_cell_angle_alpha 90.00
_cell_angle_beta 99.25
_cell_angle_gamma 90.00
loop_
_atom_site_label
_atom_site_type_symbol
_atom_site_fract_x
_atom_site_fract_y
_atom_site_fract_z
Fe1 Fe 0.000 0.000 0.000
Cu1 Cu 0.249 0.500 0.245
Re1 Re 0.000 0.500 0.500
# Formation enthalpy at 0 K ... 267.4 meV/atom
# E_tot ... -7.008 eV/atom
# Energy relative to the lowest polymorph listed for this composition ... 82 meV/atom

[7]
# PBE FeCu2Re, optimized geometry
data_FeCu2Re
_chemical_formula_sum 'Fe4 Cu8 Re4'
_symmetry_space_group_name_H-M 'I -4 2 d'
_symmetry_Int_Tables_number 122
_symmetry_space_group_name_Hall 'I -4 2bw'
_cell_length_a 6.676
_cell_length_b 6.676
_cell_length_c 4.918
_cell_angle_alpha 90.00
_cell_angle_beta 90.00
_cell_angle_gamma 90.00
loop_
_atom_site_label
_atom_site_type_symbol
_atom_site_fract_x
_atom_site_fract_y
_atom_site_fract_z
Fe1 Fe 0.000 0.000 0.000
Cu1 Cu 0.237 0.750 0.125
Re1 Re 0.000 0.000 0.500
# Formation enthalpy at 0 K ... 859.6 meV/atom
# E_tot ... -6.416 eV/atom
# Energy relative to the lowest polymorph listed for this composition ... 675 meV/atom

[8]
# PBE FeCu2Re, optimized geometry
data_FeCu2Re
_chemical_formula_sum 'Fe1 Cu2 Re1'
_symmetry_space_group_name_H-M 'P 4/m m m'
_symmetry_Int_Tables_number 123
_symmetry_space_group_name_Hall '-P 4 2'
_cell_length_a 2.576
_cell_length_b 2.576
_cell_length_c 7.742
_cell_angle_alpha 90.00
_cell_angle_beta 90.00
_cell_angle_gamma 90.00
loop_
_atom_site_label
_atom_site_type_symbol
_atom_site_fract_x
_atom_site_fract_y
_atom_site_fract_z
Fe1 Fe 0.000 0.000 0.000
Cu1 Cu 0.500 0.500 0.239
Re1 Re 0.000 0.000 0.500
# Formation enthalpy at 0 K ... 264.5 meV/atom
# E_tot ... -7.011 eV/atom
# Energy relative to the lowest polymorph listed for this composition ... 80 meV/atom

[9]
# PBE FeCuRe2, optimized geometry
data_FeCuRe2
_chemical_formula_sum 'Fe1 Cu1 Re2'
_symmetry_space_group_name_H-M 'P 4/m m m'
_symmetry_Int_Tables_number 123
_symmetry_space_group_name_Hall '-P 4 2'
_cell_length_a 3.730
_cell_length_b 3.730
_cell_length_c 3.848
_cell_angle_alpha 90.00
_cell_angle_beta 90.00
_cell_angle_gamma 90.00
loop_
_atom_site_label
_atom_site_type_symbol
_atom_site_fract_x
_atom_site_fract_y
_atom_site_fract_z
Fe1 Fe 0.000 0.000 0.000
Cu1 Cu 0.500 0.500 0.000
Re1 Re 0.000 0.500 0.500
# Formation enthalpy at 0 K ... 235.4 meV/atom
# E_tot ... -9.128 eV/atom
# Energy relative to the lowest polymorph listed for this composition ... 76 meV/atom

[10]
# PBE Fe2CuRe, optimized geometry
data_Fe2CuRe
_chemical_formula_sum 'Fe2 Cu1 Re1'
_symmetry_space_group_name_H-M 'P m m m'
_symmetry_Int_Tables_number 47
_symmetry_space_group_name_Hall '-P 2 2'
_cell_length_a 2.621
_cell_length_b 3.670
_cell_length_c 5.152
_cell_angle_alpha 90.00
_cell_angle_beta 90.00
_cell_angle_gamma 90.00
loop_
_atom_site_label
_atom_site_type_symbol
_atom_site_fract_x
_atom_site_fract_y
_atom_site_fract_z
Fe1 Fe 0.000 0.000 0.249
Cu1 Cu 0.500 0.500 0.500
Re1 Re 0.500 0.500 0.000
# Formation enthalpy at 0 K ... 196.0 meV/atom
# E_tot ... -8.171 eV/atom
# Energy relative to the lowest polymorph listed for this composition ... 22 meV/atom

[11]
# PBE FeCu2Re, optimized geometry
data_FeCu2Re
_chemical_formula_sum 'Fe2 Cu4 Re2'
_symmetry_space_group_name_H-M 'C m m m'
_symmetry_Int_Tables_number 65
_symmetry_space_group_name_Hall '-C 2 2'
_cell_length_a 5.188
_cell_length_b 7.906
_cell_length_c 2.511
_cell_angle_alpha 90.00
_cell_angle_beta 90.00
_cell_angle_gamma 90.00
loop_
_atom_site_label
_atom_site_type_symbol
_atom_site_fract_x
_atom_site_fract_y
_atom_site_fract_z
Fe1 Fe 0.000 0.000 0.000
Cu1 Cu 0.250 0.250 0.500
Re1 Re 0.000 0.500 0.000
# Formation enthalpy at 0 K ... 280.6 meV/atom
# E_tot ... -6.995 eV/atom
# Energy relative to the lowest polymorph listed for this composition ... 96 meV/atom

[12]
# PBE FeCu2Re, optimized geometry
data_FeCu2Re
_chemical_formula_sum 'Fe1 Cu2 Re1'
_symmetry_space_group_name_H-M 'P 1 2/m 1'
_symmetry_Int_Tables_number 10
_symmetry_space_group_name_Hall '-P 2y'
_cell_length_a 2.509
_cell_length_b 4.230
_cell_length_c 4.915
_cell_angle_alpha 90.00
_cell_angle_beta 101.72
_cell_angle_gamma 90.00
loop_
_atom_site_label
_atom_site_type_symbol
_atom_site_fract_x
_atom_site_fract_y
_atom_site_fract_z
Fe1 Fe 0.000 0.000 0.000
Cu1 Cu 0.181 0.500 0.756
Re1 Re 0.500 0.000 0.500
# Formation enthalpy at 0 K ... 295.2 meV/atom
# E_tot ... -6.981 eV/atom
# Energy relative to the lowest polymorph listed for this composition ... 110 meV/atom

[13]
# PBE FeCu2Re, optimized geometry
data_FeCu2Re
_chemical_formula_sum 'Fe1 Cu2 Re1'
_symmetry_space_group_name_H-M 'P 1 m 1'
_symmetry_Int_Tables_number 6
_symmetry_space_group_name_Hall 'P -2y'
_cell_length_a 2.528
_cell_length_b 4.186
_cell_length_c 4.844
_cell_angle_alpha 90.00
_cell_angle_beta 95.59
_cell_angle_gamma 90.00
loop_
_atom_site_label
_atom_site_type_symbol
_atom_site_fract_x
_atom_site_fract_y
_atom_site_fract_z
Fe1 Fe 0.000 0.000 0.000
Cu1 Cu 0.345 0.500 0.754
Cu2 Cu 0.380 0.000 0.501
Re1 Re 0.791 0.500 0.253
# Formation enthalpy at 0 K ... 246.8 meV/atom
# E_tot ... -7.029 eV/atom
# Energy relative to the lowest polymorph listed for this composition ... 62 meV/atom

[14]
# PBE FeCu2Re, optimized geometry
data_FeCu2Re
_chemical_formula_sum 'Fe2 Cu4 Re2'
_symmetry_space_group_name_H-M 'I 4/m m m'
_symmetry_Int_Tables_number 139
_symmetry_space_group_name_Hall '-I 4 2'
_cell_length_a 3.571
_cell_length_b 3.571
_cell_length_c 7.844
_cell_angle_alpha 90.00
_cell_angle_beta 90.00
_cell_angle_gamma 90.00
loop_
_atom_site_label
_atom_site_type_symbol
_atom_site_fract_x
_atom_site_fract_y
_atom_site_fract_z
Fe1 Fe 0.000 0.000 0.000
Cu1 Cu 0.000 0.500 0.250
Re1 Re 0.000 0.000 0.500
# Formation enthalpy at 0 K ... 381.6 meV/atom
# E_tot ... -6.894 eV/atom
# Energy relative to the lowest polymorph listed for this composition ... 197 meV/atom

[15]
# PBE FeCu2Re, optimized geometry
data_FeCu2Re
_chemical_formula_sum 'Fe1 Cu2 Re1'
_symmetry_space_group_name_H-M 'P m m m'
_symmetry_Int_Tables_number 47
_symmetry_space_group_name_Hall '-P 2 2'
_cell_length_a 2.531
_cell_length_b 3.935
_cell_length_c 5.121
_cell_angle_alpha 90.00
_cell_angle_beta 90.00
_cell_angle_gamma 90.00
loop_
_atom_site_label
_atom_site_type_symbol
_atom_site_fract_x
_atom_site_fract_y
_atom_site_fract_z
Fe1 Fe 0.000 0.000 0.000
Cu1 Cu 0.500 0.500 0.246
Re1 Re 0.000 0.000 0.500
# Formation enthalpy at 0 K ... 289.4 meV/atom
# E_tot ... -6.986 eV/atom
# Energy relative to the lowest polymorph listed for this composition ... 104 meV/atom

[16]
# PBE Fe2CuRe, optimized geometry
data_Fe2CuRe
_chemical_formula_sum 'Fe2 Cu1 Re1'
_symmetry_space_group_name_H-M 'P 1 m 1'
_symmetry_Int_Tables_number 6
_symmetry_space_group_name_Hall 'P -2y'
_cell_length_a 2.523
_cell_length_b 4.118
_cell_length_c 4.945
_cell_angle_alpha 90.00
_cell_angle_beta 101.23
_cell_angle_gamma 90.00
loop_
_atom_site_label
_atom_site_type_symbol
_atom_site_fract_x
_atom_site_fract_y
_atom_site_fract_z
Fe1 Fe 0.000 0.000 0.000
Fe2 Fe 0.195 0.500 0.754
Cu1 Cu 0.404 0.000 0.515
Re1 Re 0.729 0.500 0.246
# Formation enthalpy at 0 K ... 188.8 meV/atom
# E_tot ... -8.179 eV/atom
# Energy relative to the lowest polymorph listed for this composition ... 15 meV/atom

[17]
# PBE FeCu2Re, optimized geometry
data_FeCu2Re
_chemical_formula_sum 'Fe1 Cu2 Re1'
_symmetry_space_group_name_H-M 'P m m m'
_symmetry_Int_Tables_number 47
_symmetry_space_group_name_Hall '-P 2 2'
_cell_length_a 2.667
_cell_length_b 4.312
_cell_length_c 4.469
_cell_angle_alpha 90.00
_cell_angle_beta 90.00
_cell_angle_gamma 90.00
loop_
_atom_site_label
_atom_site_type_symbol
_atom_site_fract_x
_atom_site_fract_y
_atom_site_fract_z
Fe1 Fe 0.000 0.000 0.000
Cu1 Cu 0.000 0.500 0.500
Cu2 Cu 0.500 0.000 0.500
Re1 Re 0.500 0.500 0.000
# Formation enthalpy at 0 K ... 330.5 meV/atom
# E_tot ... -6.945 eV/atom
# Energy relative to the lowest polymorph listed for this composition ... 146 meV/atom

[18]
# PBE FeCuRe2, optimized geometry
data_FeCuRe2
_chemical_formula_sum 'Fe1 Cu1 Re2'
_symmetry_space_group_name_H-M 'P 1 2/m 1'
_symmetry_Int_Tables_number 10
_symmetry_space_group_name_Hall '-P 2y'
_cell_length_a 4.643
_cell_length_b 2.677
_cell_length_c 4.670
_cell_angle_alpha 90.00
_cell_angle_beta 110.07
_cell_angle_gamma 90.00
loop_
_atom_site_label
_atom_site_type_symbol
_atom_site_fract_x
_atom_site_fract_y
_atom_site_fract_z
Fe1 Fe 0.000 0.000 0.000
Cu1 Cu 0.000 0.500 0.500
Re1 Re 0.500 0.000 0.500
Re2 Re 0.500 0.500 0.000
# Formation enthalpy at 0 K ... 231.5 meV/atom
# E_tot ... -9.132 eV/atom
# Energy relative to the lowest polymorph listed for this composition ... 72 meV/atom

[19]
# PBE FeCu2Re, optimized geometry
data_FeCu2Re
_chemical_formula_sum 'Fe2 Cu4 Re2'
_symmetry_space_group_name_H-M 'C m m 2'
_symmetry_Int_Tables_number 35
_symmetry_space_group_name_Hall 'C 2 -2'
_cell_length_a 3.168
_cell_length_b 4.031
_cell_length_c 8.093
_cell_angle_alpha 90.00
_cell_angle_beta 90.00
_cell_angle_gamma 90.00
loop_
_atom_site_label
_atom_site_type_symbol
_atom_site_fract_x
_atom_site_fract_y
_atom_site_fract_z
Fe1 Fe 0.000 0.000 0.000
Cu1 Cu 0.000 0.000 0.518
Cu2 Cu 0.000 0.500 0.759
Re1 Re 0.000 0.500 0.254
# Formation enthalpy at 0 K ... 186.0 meV/atom
# E_tot ... -7.090 eV/atom
# Energy relative to the lowest polymorph listed for this composition ... 1 meV/atom

[20]
# PBE FeCuRe2, optimized geometry
data_FeCuRe2
_chemical_formula_sum 'Fe2 Cu2 Re4'
_symmetry_space_group_name_H-M 'C 1 2/m 1'
_symmetry_Int_Tables_number 12
_symmetry_space_group_name_Hall '-C 2y'
_cell_length_a 8.857
_cell_length_b 2.692
_cell_length_c 4.643
_cell_angle_alpha 90.00
_cell_angle_beta 100.95
_cell_angle_gamma 90.00
loop_
_atom_site_label
_atom_site_type_symbol
_atom_site_fract_x
_atom_site_fract_y
_atom_site_fract_z
Fe1 Fe 0.000 0.000 0.000
Cu1 Cu 0.000 0.500 0.500
Re1 Re 0.244 0.500 0.245
# Formation enthalpy at 0 K ... 219.2 meV/atom
# E_tot ... -9.145 eV/atom
# Energy relative to the lowest polymorph listed for this composition ... 60 meV/atom